TlSnSN2: relaxed, GGA-PBE.

Structure (extended XYZ):
```
5
Lattice="4.257 0.000 0.000 0.000 4.257 0.000 0.000 0.000 5.350" Properties=species:S:1:pos:R:3 pbc="T T T"
Tl 0.000 0.000 0.000
Sn 2.128 2.128 2.675
S 2.128 2.128 0.000
N 0.000 2.128 2.675
N 2.128 0.000 2.675
```

Values from the calculation:
Its formation energy from raw total energies is 1046 meV/atom. The value obtained for the energy relative to the lowest polymorph listed for this composition is 0.0000 eV per atom. Its space group is P4/mmm. Its density of states at the Fermi level is 3.80 states/eV/f.u.

***

KLa2Cd: relaxed, GGA-PBE.

Structure (extended XYZ):
```
4
Lattice="3.923 0.000 0.000 0.000 5.933 0.000 0.000 0.000 6.150" Properties=species:S:1:pos:R:3 pbc="T T T"
K 0.000 0.000 0.000
La 0.000 2.966 3.075
La 1.961 0.000 3.075
Cd 1.961 2.966 0.000
```

Values from the calculation:
As for the formation energy from the elements: 0.188 eV per atom. Its space group is Pmmm. Its density of states at the Fermi level is 4.10 states/eV/f.u.

***

PmTh2Co6: relaxed, GGA-PBE.

Structure (extended XYZ):
```
9
Lattice="6.833 0.000 0.000 -3.416 5.918 0.000 0.000 0.000 4.024" Properties=species:S:1:pos:R:3 pbc="T T T"
Pm 0.000 0.000 0.000
Th 0.000 3.945 0.000
Th 3.416 1.972 0.000
Co -1.145 1.982 2.012
Co -2.272 3.935 2.012
Co 2.289 0.000 2.012
Co 1.145 1.982 2.012
Co 4.544 0.000 2.012
Co 2.272 3.935 2.012
```

Values from the calculation:
As for the formation energy from the elements: -0.185 eV per atom. Its space group is P6/mmm. Its density of states at the Fermi level is 11.89 states/eV/f.u.